No. 1
A plane-wave DFT calculation with PBE was carried out for an optimized crystal structure of Li2PuAlSb2.

Results
- Uncorrected formation energy: -456 meV per atom
- M_tot: 5.7 μB per formula unit
- N(E_F): 1.39 states/eV/atom

```
Li2PuAlSb2
1.0
4.598 0.000 0.000
0.000 8.921 0.000
0.000 0.000 6.327
Li Pu Al Sb
4 2 2 4
Direct
0.000 0.000 0.000
0.000 0.000 0.500
0.500 0.150 0.249
0.500 0.850 0.749
0.500 0.500 0.000
0.500 0.500 0.500
0.000 0.334 0.750
0.000 0.666 0.250
0.000 0.315 0.250
0.000 0.685 0.750
0.500 0.161 0.750
0.500 0.839 0.250
```



No. 2
A plane-wave DFT calculation with PBE was carried out for an optimized crystal structure of LiPuAlSi.

Results
- Uncorrected formation energy: -102 meV per atom
- M_tot: 5.5 μB per formula unit
- N(E_F): 1.40 states/eV/atom

```
LiPuAlSi
1.0
0.000 3.270 3.270
3.270 0.000 3.270
3.270 3.270 0.000
Li Pu Al Si
1 1 1 1
Direct
0.000 0.000 0.000
0.250 0.250 0.250
0.750 0.750 0.750
0.500 0.500 0.500
```



No. 3
A plane-wave DFT calculation with PBE was carried out for an optimized crystal structure of LiSmPuAl.

Results
- M_tot: 6.3 μB per formula unit
- DFT formation energy: 0.0119 eV/atom
- N(E_F): 1.76 states/eV/atom

```
LiSmPuAl
1.0
0.000 3.670 3.670
3.670 0.000 3.670
3.670 3.670 0.000
Li Sm Pu Al
1 1 1 1
Direct
0.000 0.000 0.000
0.250 0.250 0.250
0.750 0.750 0.750
0.500 0.500 0.500
```



No. 4
A plane-wave DFT calculation with PBE was carried out for an optimized crystal structure of LiPuAlTc.

Results
- M_tot: 5.0 μB per formula unit
- DFT formation energy: -0.0056 eV/atom
- N(E_F): 2.09 states/eV/atom

```
LiPuAlTc
1.0
0.000 3.250 3.250
3.250 0.000 3.250
3.250 3.250 0.000
Li Pu Al Tc
1 1 1 1
Direct
0.000 0.000 0.000
0.250 0.250 0.250
0.750 0.750 0.750
0.500 0.500 0.500
```



No. 5
A plane-wave DFT calculation with PBE was carried out for an optimized crystal structure of LiPu2AlTe5.

Results
- Uncorrected formation energy: -660 meV per atom
- M_tot: 10.1 μB per formula unit
- N(E_F): 2.58 states/eV/atom

```
LiPu2AlTe5
1.0
2.056 -8.716 0.000
2.056 8.716 0.000
0.000 0.000 15.183
Li Pu Al Te
2 4 2 10
Direct
0.199 0.801 0.500
0.801 0.199 0.000
0.105 0.895 0.177
0.155 0.845 0.749
0.845 0.155 0.249
0.895 0.105 0.677
0.475 0.525 0.463
0.525 0.475 0.963
0.049 0.951 0.559
0.132 0.868 0.957
0.223 0.777 0.327
0.281 0.719 0.114
0.497 0.503 0.283
0.503 0.497 0.783
0.719 0.281 0.614
0.777 0.223 0.827
0.868 0.132 0.457
0.951 0.049 0.059
```



No. 6
A plane-wave DFT calculation with PBE was carried out for an optimized crystal structure of LiPuAlTl.

Results
- M_tot: 5.6 μB per formula unit
- DFT formation energy: -0.0316 eV/atom
- N(E_F): 2.55 states/eV/atom

```
LiPuAlTl
1.0
0.000 3.582 3.582
3.582 0.000 3.582
3.582 3.582 0.000
Li Pu Al Tl
1 1 1 1
Direct
0.000 0.000 0.000
0.500 0.500 0.500
0.250 0.250 0.250
0.750 0.750 0.750
```



No. 7
A plane-wave DFT calculation with PBE was carried out for an optimized crystal structure of LiYPuAl.

Results
- M_tot: 6.1 μB per formula unit
- DFT formation energy: -0.0145 eV/atom
- N(E_F): 1.47 states/eV/atom

```
LiYPuAl
1.0
0.000 3.637 3.637
3.637 0.000 3.637
3.637 3.637 0.000
Li Y Pu Al
1 1 1 1
Direct
0.000 0.000 0.000
0.750 0.750 0.750
0.250 0.250 0.250
0.500 0.500 0.500
```



No. 8
A plane-wave DFT calculation with PBE was carried out for an optimized crystal structure of LiPuAlZn.

Results
- M_tot: 5.7 μB per formula unit
- DFT formation energy: -0.0835 eV/atom
- N(E_F): 2.09 states/eV/atom

```
LiPuAlZn
1.0
0.000 3.345 3.345
3.345 0.000 3.345
3.345 3.345 0.000
Li Pu Al Zn
1 1 1 1
Direct
0.000 0.000 0.000
0.250 0.250 0.250
0.750 0.750 0.750
0.500 0.500 0.500
```



No. 9
A plane-wave DFT calculation with PBE was carried out for an optimized crystal structure of RbLi2Al2.

Results
- M_tot: 0.0 μB per formula unit
- DFT formation energy: 0.1098 eV/atom
- N(E_F): 0.35 states/eV/atom

```
RbLi2Al2
1.0
8.795 0.000 0.000
0.000 8.795 0.000
0.000 0.000 3.014
Rb Li Al
2 4 4
Direct
0.000 0.000 0.000
0.500 0.500 0.000
0.173 0.327 0.000
0.327 0.827 0.000
0.673 0.173 0.000
0.827 0.673 0.000
0.110 0.610 0.500
0.390 0.110 0.500
0.610 0.890 0.500
0.890 0.390 0.500
```



No. 10
A plane-wave DFT calculation with PBE was carried out for an optimized crystal structure of RbLi2Al2.

Results
- M_tot: 0.0 μB per formula unit
- DFT formation energy: 0.2128 eV/atom
- N(E_F): 0.67 states/eV/atom

```
RbLi2Al2
1.0
-2.008 2.008 8.772
2.008 -2.008 8.772
2.008 2.008 -8.772
Rb Li Al
1 2 2
Direct
0.000 0.000 0.000
0.361 0.361 0.000
0.639 0.639 0.000
0.250 0.750 0.500
0.750 0.250 0.500
```



No. 11
A plane-wave DFT calculation with PBE was carried out for an optimized crystal structure of Rb2LiAl.

Results
- M_tot: 0.0 μB per formula unit
- DFT formation energy: 0.4782 eV/atom
- N(E_F): 0.31 states/eV/atom

```
Rb2LiAl
1.0
-5.074 5.074 3.437
5.074 -5.074 3.437
5.074 5.074 -3.437
Rb Li Al
4 2 2
Direct
0.124 0.625 0.999
0.375 0.374 0.499
0.626 0.125 0.001
0.875 0.876 0.501
0.250 0.750 0.500
0.500 0.500 0.000
0.000 0.000 0.000
0.750 0.250 0.500
```



No. 12
A plane-wave DFT calculation with PBE was carried out for an optimized crystal structure of RbLiAl3.

Results
- M_tot: 0.0 μB per formula unit
- DFT formation energy: 0.4956 eV/atom
- N(E_F): 0.60 states/eV/atom

```
RbLiAl3
1.0
5.023 0.000 0.000
0.000 5.023 0.000
0.000 0.000 5.023
Rb Li Al
1 1 3
Direct
0.000 0.000 0.000
0.500 0.500 0.500
0.000 0.500 0.500
0.500 0.000 0.500
0.500 0.500 0.000
```



No. 13
A plane-wave DFT calculation with PBE was carried out for an optimized crystal structure of RbLiAl3.

Results
- M_tot: 0.0 μB per formula unit
- DFT formation energy: 1.4834 eV/atom
- N(E_F): 1.53 states/eV/atom

```
RbLiAl3
1.0
6.038 0.000 0.000
0.000 6.038 0.000
0.000 0.000 6.038
Rb Li Al
1 1 3
Direct
0.000 0.000 0.000
0.500 0.500 0.500
0.000 0.000 0.500
0.000 0.500 0.000
0.500 0.000 0.000
```



No. 14
A plane-wave DFT calculation with PBE was carried out for an optimized crystal structure of RbLiAlRe2.

Results
- M_tot: 0.0 μB per formula unit
- DFT formation energy: 1.9667 eV/atom
- N(E_F): 1.45 states/eV/atom

```
RbLiAlRe2
1.0
4.466 0.000 0.000
0.000 4.466 0.000
0.000 0.000 4.764
Rb Li Al Re
1 1 1 2
Direct
0.000 0.000 0.000
0.500 0.500 0.500
0.500 0.500 0.000
0.000 0.500 0.500
0.500 0.000 0.500
```



No. 15
A plane-wave DFT calculation with PBE was carried out for an optimized crystal structure of Rb2LiAlRh.

Results
- M_tot: 0.0 μB per formula unit
- DFT formation energy: 0.7600 eV/atom
- N(E_F): 0.58 states/eV/atom

```
Rb2LiAlRh
1.0
6.064 0.000 0.000
0.000 6.064 0.000
0.000 0.000 4.549
Rb Li Al Rh
2 1 1 1
Direct
0.000 0.500 0.000
0.500 0.000 0.000
0.000 0.000 0.000
0.500 0.500 0.500
0.000 0.000 0.500
```



No. 16
A plane-wave DFT calculation with PBE was carried out for an optimized crystal structure of Rb2LiScAl.

Results
- M_tot: 1.2 μB per formula unit
- DFT formation energy: 0.8076 eV/atom
- N(E_F): 1.10 states/eV/atom

```
Rb2LiScAl
1.0
6.063 0.000 0.000
0.000 6.063 0.000
0.000 0.000 5.408
Rb Li Sc Al
2 1 1 1
Direct
0.000 0.500 0.000
0.500 0.000 0.000
0.000 0.000 0.000
0.500 0.500 0.500
0.000 0.000 0.500
```



No. 17
A plane-wave DFT calculation with PBE was carried out for an optimized crystal structure of Rb2LiAlSi.

Results
- Uncorrected formation energy: 774 meV per atom
- M_tot: 1.8 μB per formula unit
- N(E_F): 0.75 states/eV/atom

```
Rb2LiAlSi
1.0
6.140 0.000 0.000
0.000 6.140 0.000
0.000 0.000 5.206
Rb Li Al Si
2 1 1 1
Direct
0.000 0.500 0.000
0.500 0.000 0.000
0.000 0.000 0.000
0.000 0.000 0.500
0.500 0.500 0.500
```



No. 18
A plane-wave DFT calculation with PBE was carried out for an optimized crystal structure of RbLiAl2Tc.

Results
- M_tot: 3.3 μB per formula unit
- DFT formation energy: 1.2756 eV/atom
- N(E_F): 0.51 states/eV/atom

```
RbLiAl2Tc
1.0
4.889 0.000 0.000
0.000 4.889 0.000
0.000 0.000 5.048
Rb Li Al Tc
1 1 2 1
Direct
0.000 0.000 0.000
0.000 0.000 0.500
0.000 0.500 0.500
0.500 0.000 0.500
0.500 0.500 0.000
```



No. 19
A plane-wave DFT calculation with PBE was carried out for an optimized crystal structure of RbLiAlTe3.

Results
- Uncorrected formation energy: -642 meV per atom
- M_tot: 0.0 μB per formula unit
- N(E_F): 0.33 states/eV/atom

```
RbLiAlTe3
1.0
3.879 -7.680 0.000
3.879 7.680 0.000
0.000 0.000 7.036
Rb Li Al Te
2 2 2 6
Direct
0.225 0.775 0.750
0.775 0.225 0.250
0.417 0.583 0.250
0.583 0.417 0.750
0.075 0.925 0.250
0.925 0.075 0.750
0.240 0.240 0.000
0.240 0.240 0.500
0.240 0.760 0.250
0.760 0.240 0.750
0.760 0.760 0.000
0.760 0.760 0.500
```



No. 20
A plane-wave DFT calculation with PBE was carried out for an optimized crystal structure of RbLiAl2Te4.

Results
- Uncorrected formation energy: -402 meV per atom
- M_tot: 0.0 μB per formula unit

```
RbLiAl2Te4
1.0
-3.545 4.435 4.764
3.545 -4.435 4.764
3.545 4.435 -4.764
Rb Li Al Te
1 1 2 4
Direct
0.000 0.000 0.000
0.500 0.500 0.000
0.345 0.845 0.500
0.655 0.155 0.500
0.147 0.094 0.587
0.493 0.906 0.054
0.507 0.561 0.413
0.853 0.439 0.946
```